First-principles (PBE) data for a geometry-optimized Ca4ZnCdAg2 structure, as listed in Alexandria.

Structure (POSCAR):
```
Ca4ZnCdAg2
1.0
5.2750 0.0000 0.0000
2.6375 4.5682 0.0000
2.6375 1.5227 8.6534
Ca Zn Cd Ag
4 1 1 2
Direct
0.3777 0.3777 0.8668
0.8726 0.8726 0.3823
0.1274 0.1274 0.6177
0.6223 0.6223 0.1332
0.5000 0.5000 0.5000
0.0000 0.0000 0.0000
0.7487 0.7487 0.7538
0.2513 0.2513 0.2462
```

D(E_F), states/eV per cell: 7.1
Space group: R-3m
ΔE_f, meV/atom: -288